No. 1
VASP calculation (GGA-PBE) on a relaxed structure of In2Re.

Results
energy of formation: 0.59 eV/atom
crystal system: tetragonal
calculated volume: 121.8 Å³/cell
DOS at the Fermi energy: 3.1 states/eV/f.u.

abc: 13.3890 13.3890 13.3890
angles: 166.98 166.98 18.45
With the nearest neighbours (Å) after each atom.
Fractional coordinates of all 6 atoms:
In (0.3021, 0.5521, 0.7500)  4 Re 2.88, 6 In 3.04-3.15
In (0.4479, 0.6979, 0.7500)  4 Re 2.88, 6 In 3.04-3.15
In (0.5521, 0.3021, 0.2500)  4 Re 2.88, 6 In 3.04-3.15
In (0.6979, 0.4479, 0.2500)  4 Re 2.88, 6 In 3.04-3.15
Re (0.1250, 0.8750, 0.2500)  8 In 2.88, 4 Re 3.04
Re (0.8750, 0.1250, 0.7500)  8 In 2.88, 4 Re 3.04

No. 2
VASP calculation (GGA-PBE) on a relaxed structure of PmAgGeCl6.

Results
raw formation energy: -12.1 eV per formula unit
crystal system: tetragonal
calculated volume: 512.4 Å³/cell
DOS at the Fermi energy: 0.0 states/eV/f.u.

abc: 6.4796 6.4796 12.2044
angles: 90.00 90.00 90.00
With the nearest neighbours (Å) after each atom.
Fractional coordinates of all 18 atoms:
Pm (0.0000, 0.0000, 0.0000)  6 Cl 2.74
Pm (0.5000, 0.5000, 0.5000)  6 Cl 2.74
Ag (0.0000, 0.0000, 0.3294)  6 Cl 2.76-2.82
Ag (0.5000, 0.5000, 0.8294)  6 Cl 2.76-2.82
Ge (0.0000, 0.0000, 0.6659)  6 Cl 2.64-2.73
Ge (0.5000, 0.5000, 0.1659)  6 Cl 2.64-2.73
Cl (0.1918, 0.1918, 0.8278)  1 Ge 2.64, 1 Pm 2.74, 1 Ag 2.82
Cl (0.2006, 0.2006, 0.5002)  1 Ge 2.73, 1 Pm 2.74, 1 Ag 2.78
Cl (0.2049, 0.2049, 0.1635)  1 Ge 2.70, 1 Pm 2.74, 1 Ag 2.76
Cl (0.2951, 0.7049, 0.6635)  1 Ge 2.70, 1 Pm 2.74, 1 Ag 2.76
Cl (0.2994, 0.7006, 0.0002)  1 Ge 2.73, 1 Pm 2.74, 1 Ag 2.78
Cl (0.3082, 0.6918, 0.3278)  1 Ge 2.64, 1 Pm 2.74, 1 Ag 2.82
Cl (0.6918, 0.3082, 0.3278)  1 Ge 2.64, 1 Pm 2.74, 1 Ag 2.82
Cl (0.7006, 0.2994, 0.0002)  1 Ge 2.73, 1 Pm 2.74, 1 Ag 2.78
Cl (0.7049, 0.2951, 0.6635)  1 Ge 2.70, 1 Pm 2.74, 1 Ag 2.76
Cl (0.7951, 0.7951, 0.1635)  1 Ge 2.70, 1 Pm 2.74, 1 Ag 2.76
Cl (0.7994, 0.7994, 0.5002)  1 Ge 2.73, 1 Pm 2.74, 1 Ag 2.78
Cl (0.8082, 0.8082, 0.8278)  1 Ge 2.64, 1 Pm 2.74, 1 Ag 2.82

No. 3
VASP calculation (GGA-PBE) on a relaxed structure of Sc3AgN.

Results
raw formation energy: -2.1 eV per formula unit
E above lowest polymorph: 504.0 meV/atom
crystal system: tetragonal
calculated volume: 205.8 Å³/cell
DOS at the Fermi energy: 4.6 states/eV/f.u.

abc: 6.9984 6.9984 6.9984
angles: 128.18 128.18 76.33
With the nearest neighbours (Å) after each atom.
Fractional coordinates of all 10 atoms:
Sc (0.1288, 0.1288, 0.0000)  1 Sc 2.83, 2 Ag 3.06
Sc (0.3637, 0.6164, 0.7472)  2 N 2.01-2.11
Sc (0.3836, 0.1308, 0.7472)  2 N 2.01-2.11
Sc (0.3836, 0.6363, 0.2528)  2 N 2.01-2.11
Sc (0.8692, 0.6164, 0.2528)  2 N 2.01-2.11
Sc (0.8712, 0.8712, 0.0000)  1 Sc 2.83, 2 Ag 3.06
Ag (0.6231, 0.1231, 0.5000)  1 Ag 2.79, 4 Sc 3.04-3.06
Ag (0.8769, 0.3769, 0.5000)  1 Ag 2.79, 4 Sc 3.04-3.06
N (0.2500, 0.7500, 0.5000)  4 Sc 2.11
N (0.5000, 0.5000, 0.0000)  4 Sc 2.01

No. 4
VASP calculation (GGA-PBE) on a relaxed structure of KNa4Tl2.

Results
energy of formation: -0.06 eV/atom
E above lowest polymorph: 0.0 meV/atom
crystal system: monoclinic
calculated volume: 237.0 Å³/cell
DOS at the Fermi energy: 2.3 states/eV/f.u.

abc: 6.7565 6.7565 6.6597
angles: 117.98 117.98 76.11
With the nearest neighbours (Å) after each atom.
Fractional coordinates of all 7 atoms:
K (0.0000, 0.0000, 0.0000)  4 Na 3.56
Na (0.0029, 0.5969, 0.2999)  4 Na 3.38-3.56, 4 Tl 3.41-3.52, 1 K 3.56
Na (0.4031, 0.9971, 0.7001)  4 Na 3.38-3.56, 4 Tl 3.41-3.52, 1 K 3.56
Na (0.5969, 0.0029, 0.2999)  4 Na 3.38-3.56, 4 Tl 3.41-3.52, 1 K 3.56
Na (0.9971, 0.4031, 0.7001)  4 Na 3.38-3.56, 4 Tl 3.41-3.52, 1 K 3.56
Tl (0.4979, 0.4979, 0.2456)  2 Tl 3.30-3.36, 8 Na 3.41-3.52
Tl (0.5021, 0.5021, 0.7544)  2 Tl 3.30-3.36, 8 Na 3.41-3.52